Computed, not measured: an optimized crystal structure of InHgRu2 at the PBE level of DFT.

Values from the calculation:
- Excess energy over the best structure of this formula in the dataset: 321.7 meV per atom
- Energy of formation from the pure elements: 2.197 eV/f.u.
- Total DFT energy (no corrections): -19.40 eV per cell
- Space-group type: No. 216

Lattice parameters (Å, degrees): 4.627 4.627 4.627 60.00 60.00 60.00
Fractional coordinates of all 4 atoms:
Ru  0.000  0.000  0.000
Ru  0.750  0.750  0.750
In  0.250  0.250  0.250
Hg  0.500  0.500  0.500

=====

Computed, not measured: an optimized crystal structure of Mg2TiCu at the PBE level of DFT.

Values from the calculation:
- Excess energy over the best structure of this formula in the dataset: 237.4 meV per atom
- Energy of formation from the pure elements: 1.163 eV/f.u.
- Total DFT energy (no corrections): -14.02 eV per cell
- Space-group type: No. 166

Lattice parameters (Å, degrees): 2.862 2.862 10.301 82.01 82.01 60.00
Fractional coordinates of all 4 atoms:
Cu  0.500  0.500  0.500
Ti  0.000  0.000  0.000
Mg  0.905  0.905  0.284
Mg  0.095  0.095  0.716

=====

Computed, not measured: an optimized crystal structure of Pm2HCl3 at the PBE level of DFT.

Values from the calculation:
- Total DFT energy (no corrections): -56.80 eV per cell
- Space-group type: No. 12

Lattice parameters (Å, degrees): 3.745 8.081 10.269 69.93 79.49 76.60
Fractional coordinates of all 12 atoms:
Cl  0.661  0.694  0.983
Cl  0.771  0.836  0.622
Cl  0.229  0.164  0.378
Cl  0.339  0.306  0.017
Cl  0.954  0.863  0.229
Cl  0.046  0.137  0.771
Pm  0.861  0.475  0.803
Pm  0.594  0.256  0.556
Pm  0.139  0.525  0.197
Pm  0.406  0.744  0.444
H  0.427  0.493  0.653
H  0.573  0.507  0.347

=====

Computed, not measured: an optimized crystal structure of PrSb at the PBE level of DFT.

Values from the calculation:
- Energy relative to the elements, uncorrected: -1193 meV/atom
- Total DFT energy (no corrections): -11.29 eV per cell
- Space-group type: No. 225

Lattice parameters (Å, degrees): 4.558 4.558 4.558 60.00 60.00 60.00
Fractional coordinates of all 2 atoms:
Pr  0.000  0.000  0.000
Sb  0.500  0.500  0.500

=====

Computed, not measured: an optimized crystal structure of CsKMgTe2 at the PBE level of DFT.

Values from the calculation:
- Energy relative to the elements, uncorrected: -808 meV/atom
- Total DFT energy (no corrections): -27.73 eV per cell
- Space-group type: No. 51

Lattice parameters (Å, degrees): 7.415 6.379 8.917 90.00 90.00 90.00
Fractional coordinates of all 10 atoms:
Te  0.191  0.750  0.222
Te  0.809  0.250  0.222
Te  0.809  0.250  0.778
Te  0.191  0.750  0.778
K  0.423  0.250  0.000
K  0.577  0.750  0.000
Cs  0.781  0.750  0.500
Cs  0.219  0.250  0.500
Mg  0.000  0.000  0.000
Mg  0.000  0.500  0.000

=====

Computed, not measured: an optimized crystal structure of TeRuSeBr2 at the PBE level of DFT.

Values from the calculation:
- Energy relative to the elements, uncorrected: 329 meV/atom
- Excess energy over the best structure of this formula in the dataset: 0.0 meV per atom
- Total DFT energy (no corrections): -17.60 eV per cell
- Space-group type: No. 123

Lattice parameters (Å, degrees): 5.060 5.060 4.851 90.00 90.00 90.00
Fractional coordinates of all 5 atoms:
Br  0.000  0.500  0.000
Br  0.500  0.000  0.000
Se  0.000  0.000  0.500
Ru  0.000  0.000  0.000
Te  0.500  0.500  0.500

=====

Computed, not measured: an optimized crystal structure of CeZrHgPd at the PBE level of DFT.

Values from the calculation:
- Energy of formation from the pure elements: -1.079 eV/f.u.
- Total DFT energy (no corrections): -21.06 eV per cell
- Space-group type: No. 216

Lattice parameters (Å, degrees): 5.062 5.062 5.062 60.00 60.00 60.00
Fractional coordinates of all 4 atoms:
Hg  0.750  0.750  0.750
Ce  0.000  0.000  0.000
Pd  0.250  0.250  0.250
Zr  0.500  0.500  0.500

=====

Computed, not measured: an optimized crystal structure of LaY2IrO8 at the PBE level of DFT.

Values from the calculation:
- Energy relative to the elements, uncorrected: -2335 meV/atom
- Total DFT energy (no corrections): -94.41 eV per cell
- Space-group type: No. 65

Lattice parameters (Å, degrees): 5.083 5.075 6.976 90.00 90.00 89.90
Fractional coordinates of all 12 atoms:
Y  0.500  0.500  0.751
Y  0.500  0.500  0.249
Ir  0.000  0.000  0.000
O  0.684  0.684  0.500
O  0.731  0.732  0.000
O  0.814  0.186  0.800
O  0.186  0.814  0.200
O  0.316  0.316  0.500
O  0.186  0.814  0.800
O  0.269  0.268  0.000
O  0.814  0.186  0.200
La  0.000  0.000  0.500

=====

Computed, not measured: an optimized crystal structure of TlF3 at the PBE level of DFT.

Values from the calculation:
- Energy relative to the elements, uncorrected: -1696 meV/atom
- Total DFT energy (no corrections): -59.06 eV per cell
- Space-group type: No. 82

Lattice parameters (Å, degrees): 4.724 7.031 7.031 83.52 70.37 70.37
Fractional coordinates of all 16 atoms:
F  0.491  0.066  0.388
F  0.555  0.331  0.579
F  0.464  0.669  0.421
F  0.357  0.929  0.788
F  0.114  0.421  0.331
F  0.073  0.071  0.212
F  0.866  0.579  0.669
F  0.444  0.612  0.066
F  0.945  0.934  0.612
F  0.715  0.212  0.929
F  0.121  0.388  0.934
F  0.856  0.788  0.071
Tl  0.247  0.655  0.784
Tl  0.968  0.784  0.345
Tl  0.687  0.345  0.216
Tl  0.097  0.216  0.655

=====

Computed, not measured: an optimized crystal structure of KYMo2 at the PBE level of DFT.

Values from the calculation:
- Excess energy over the best structure of this formula in the dataset: 725.6 meV per atom
- Energy of formation from the pure elements: 5.037 eV/f.u.
- Total DFT energy (no corrections): -24.19 eV per cell
- Space-group type: No. 139

Lattice parameters (Å, degrees): 6.034 6.034 6.034 141.68 141.68 55.31
Fractional coordinates of all 4 atoms:
Mo  0.000  0.000  0.000
Mo  0.500  0.500  0.000
K  0.750  0.250  0.500
Y  0.250  0.750  0.500

=====

Computed, not measured: an optimized crystal structure of Pr7AlSe5 at the PBE level of DFT.

Values from the calculation:
- Energy relative to the elements, uncorrected: -1461 meV/atom
- Total DFT energy (no corrections): -147.23 eV per cell
- Space-group type: No. 12

Lattice parameters (Å, degrees): 4.212 7.360 25.368 90.02 90.00 106.63
Fractional coordinates of all 26 atoms:
Pr  0.910  0.819  0.113
Pr  0.091  0.182  0.613
Pr  0.527  0.053  0.750
Pr  0.363  0.725  0.964
Pr  0.638  0.276  0.464
Pr  0.812  0.623  0.822
Pr  0.363  0.725  0.536
Pr  0.638  0.276  0.036
Pr  0.189  0.377  0.322
Pr  0.091  0.182  0.887
Pr  0.189  0.378  0.178
Pr  0.474  0.948  0.250
Pr  0.909  0.818  0.387
Pr  0.812  0.624  0.678
Se  0.000  0.000  0.500
Se  0.725  0.450  0.928
Se  0.275  0.551  0.428
Se  0.449  0.898  0.642
Se  0.449  0.898  0.858
Se  0.725  0.450  0.572
Se  0.551  0.103  0.358
Se  0.552  0.103  0.142
Se  0.000  0.001  0.000
Se  0.276  0.551  0.072
Al  0.191  0.381  0.750
Al  0.810  0.620  0.250

=====

Computed, not measured: an optimized crystal structure of YErIrRh at the PBE level of DFT.

Values from the calculation:
- Energy of formation from the pure elements: -3.535 eV/f.u.
- Total DFT energy (no corrections): -30.77 eV per cell
- Space-group type: No. 216

Lattice parameters (Å, degrees): 4.830 4.830 4.830 60.00 60.00 60.00
Fractional coordinates of all 4 atoms:
Er  0.250  0.250  0.250
Rh  0.500  0.500  0.500
Ir  0.000  0.000  0.000
Y  0.750  0.750  0.750

=====

Computed, not measured: an optimized crystal structure of BeSi2W at the PBE level of DFT.

Values from the calculation:
- Energy relative to the elements, uncorrected: 574 meV/atom
- Total DFT energy (no corrections): -25.23 eV per cell
- Space-group type: No. 216

Lattice parameters (Å, degrees): 4.184 4.184 4.184 60.00 60.00 60.00
Fractional coordinates of all 4 atoms:
Si  0.750  0.750  0.750
Si  0.000  0.000  0.000
Be  0.500  0.500  0.500
W  0.250  0.250  0.250

=====

Computed, not measured: an optimized crystal structure of RbHg2Sb at the PBE level of DFT.

Values from the calculation:
- Energy relative to the elements, uncorrected: -231 meV/atom
- Total DFT energy (no corrections): -6.62 eV per cell
- Space-group type: No. 160

Lattice parameters (Å, degrees): 4.964 4.964 7.602 70.94 70.94 60.00
Fractional coordinates of all 4 atoms:
Hg  0.266  0.266  0.201
Hg  0.042  0.042  0.875
Rb  0.496  0.496  0.512
Sb  0.696  0.696  0.912

=====

Computed, not measured: an optimized crystal structure of Mg12Al2In5 at the PBE level of DFT.

Values from the calculation:
- Energy of formation from the pure elements: 1.548 eV/f.u.
- Total DFT energy (no corrections): -38.76 eV per cell
- Space-group type: No. 12

Lattice parameters (Å, degrees): 6.778 8.406 9.454 100.15 90.00 113.78
Fractional coordinates of all 19 atoms:
In  0.269  0.538  0.568
In  0.000  0.000  0.500
In  0.353  0.706  0.113
In  0.647  0.294  0.887
In  0.731  0.462  0.432
Mg  0.461  0.922  0.701
Mg  0.145  0.741  0.380
Mg  0.564  0.621  0.852
Mg  0.539  0.078  0.299
Mg  0.436  0.379  0.148
Mg  0.597  0.741  0.380
Mg  0.944  0.379  0.148
Mg  0.403  0.259  0.620
Mg  0.023  0.045  0.207
Mg  0.056  0.621  0.852
Mg  0.855  0.259  0.620
Mg  0.977  0.955  0.793
Al  0.305  0.000  0.000
Al  0.695  0.000  0.000

=====

Computed, not measured: an optimized crystal structure of Er4AsCSe2 at the PBE level of DFT.

Values from the calculation:
- Energy relative to the elements, uncorrected: -1404 meV/atom
- Total DFT energy (no corrections): -50.33 eV per cell
- Space-group type: No. 10

Lattice parameters (Å, degrees): 3.886 6.839 6.926 108.82 90.00 90.00
Fractional coordinates of all 8 atoms:
Er  0.500  0.217  0.212
Er  0.000  0.232  0.779
Er  0.500  0.783  0.788
Er  0.000  0.768  0.221
Se  0.500  0.000  0.500
Se  0.000  0.500  0.500
As  0.500  0.500  0.000
C  0.000  0.000  0.000

=====

Computed, not measured: an optimized crystal structure of CoRu at the PBE level of DFT.

Values from the calculation:
- Energy of formation from the pure elements: 0.247 eV/f.u.
- Total DFT energy (no corrections): -48.40 eV per cell
- Space-group type: No. 8

Lattice parameters (Å, degrees): 4.857 4.857 6.156 76.47 76.47 31.79
Fractional coordinates of all 6 atoms:
Ru  0.279  0.279  0.942
Ru  0.948  0.948  0.611
Ru  0.328  0.328  0.336
Co  0.608  0.608  0.274
Co  0.002  0.002  0.003
Co  0.667  0.667  0.667

=====

Computed, not measured: an optimized crystal structure of Pm3ErIn12 at the PBE level of DFT.

Values from the calculation:
- Energy of formation from the pure elements: -7.055 eV/f.u.
- Total DFT energy (no corrections): -58.73 eV per cell
- Space-group type: No. 123

Lattice parameters (Å, degrees): 4.676 4.676 18.781 90.00 90.00 90.00
Fractional coordinates of all 16 atoms:
Pm  0.000  0.000  0.752
Pm  0.000  0.000  0.500
Pm  0.000  0.000  0.248
In  0.500  0.500  0.249
In  0.500  0.500  0.500
In  0.000  0.500  0.122
In  0.000  0.500  0.374
In  0.500  0.000  0.374
In  0.000  0.500  0.878
In  0.500  0.500  0.751
In  0.000  0.500  0.626
In  0.500  0.000  0.626
In  0.500  0.000  0.122
In  0.500  0.000  0.878
In  0.500  0.500  0.000
Er  0.000  0.000  0.000

=====

Computed, not measured: an optimized crystal structure of BiPt3N at the PBE level of DFT.

Values from the calculation:
- Energy relative to the elements, uncorrected: 466 meV/atom
- Excess energy over the best structure of this formula in the dataset: 0.0 meV per atom
- Total DFT energy (no corrections): -28.00 eV per cell
- Space-group type: No. 221

Lattice parameters (Å, degrees): 4.356 4.356 4.356 90.00 90.00 90.00
Fractional coordinates of all 5 atoms:
Pt  0.000  0.500  0.000
Pt  0.500  0.000  0.000
Pt  0.000  0.000  0.500
Bi  0.500  0.500  0.500
N  0.000  0.000  0.000

=====

Computed, not measured: an optimized crystal structure of SrCaSmHo at the PBE level of DFT.

Values from the calculation:
- Energy of formation from the pure elements: 0.770 eV/f.u.
- Total DFT energy (no corrections): -12.21 eV per cell
- Space-group type: No. 216

Lattice parameters (Å, degrees): 5.992 5.992 5.992 60.00 60.00 60.00
Fractional coordinates of all 4 atoms:
Ca  0.000  0.000  0.000
Sr  0.750  0.750  0.750
Sm  0.250  0.250  0.250
Ho  0.500  0.500  0.500